No. 1
! SmNb2Ru2 GGA-PBE optimized geometry; values from VASP
! SG: No. 139
! Formation energy (eV/atom): -0.228
! Density (g cm⁻³): 8.67
&SYSTEM
  ibrav = 0, nat = 5, ntyp = 3
/
ATOMIC_SPECIES
Sm 150.36 Sm.upf
Nb 92.91 Nb.upf
Ru 101.07 Ru.upf
CELL_PARAMETERS angstrom
-2.201 2.201 5.318
2.201 -2.201 5.318
2.201 2.201 -5.318
ATOMIC_POSITIONS angstrom
Sm 0.000 0.000 0.000
Nb 2.201 0.000 2.659
Nb 0.000 2.201 2.659
Ru 0.000 0.000 4.031
Ru 0.000 0.000 6.606

***

No. 2
! LaZrOs GGA-PBE optimized geometry; values from VASP
! SG: No. 2
! Energy relative to the lowest polymorph listed for this composition (meV per atom): 46
! Formation energy (eV/atom): -0.226
! Density (g cm⁻³): 9.37
&SYSTEM
  ibrav = 0, nat = 6, ntyp = 3
/
ATOMIC_SPECIES
La 138.91 La.upf
Zr 91.22 Zr.upf
Os 190.23 Os.upf
CELL_PARAMETERS angstrom
4.260 0.000 0.000
-2.083 5.794 0.000
-1.680 -1.208 6.036
ATOMIC_POSITIONS angstrom
La 0.084 0.707 2.007
La 0.414 3.879 4.030
Zr 0.023 3.983 0.479
Zr 0.474 0.603 5.557
Os -1.699 1.472 4.162
Os 2.197 3.114 1.874

***

No. 3
! Tm2Mg3Pb4 GGA-PBE optimized geometry; values from VASP
! SG: No. 12
! Formation energy (eV/atom): -0.175
! Density (g cm⁻³): 8.63
&SYSTEM
  ibrav = 0, nat = 9, ntyp = 3
/
ATOMIC_SPECIES
Tm 168.93 Tm.upf
Mg 24.30 Mg.upf
Pb 207.20 Pb.upf
CELL_PARAMETERS angstrom
5.020 -2.311 0.000
5.020 2.311 0.000
-2.395 0.000 10.287
ATOMIC_POSITIONS angstrom
Tm 1.092 0.000 2.270
Tm 6.554 0.000 8.017
Mg 0.313 0.000 5.701
Mg 5.020 0.000 0.000
Mg 7.332 0.000 4.586
Pb -0.416 0.000 9.180
Pb 3.381 0.000 6.790
Pb 4.264 0.000 3.497
Pb 8.062 0.000 1.107

***

No. 4
! MgTaHg2 GGA-PBE optimized geometry; values from VASP
! SG: No. 216
! Formation energy (eV/atom): 0.642
! Density (g cm⁻³): 12.34
&SYSTEM
  ibrav = 0, nat = 4, ntyp = 3
/
ATOMIC_SPECIES
Mg 24.30 Mg.upf
Ta 180.95 Ta.upf
Hg 200.59 Hg.upf
CELL_PARAMETERS angstrom
0.000 3.443 3.443
3.443 0.000 3.443
3.443 3.443 0.000
ATOMIC_POSITIONS angstrom
Mg 0.000 0.000 0.000
Ta 1.721 1.721 1.721
Hg 3.443 3.443 3.443
Hg 5.164 5.164 5.164

***

No. 5
! Tb5Pr3Sm2 GGA-PBE optimized geometry; values from VASP
! SG: No. 72
! Energy relative to the lowest polymorph listed for this composition (meV per atom): 194
! Formation energy (eV/atom): 0.375
! Density (g cm⁻³): 6.97
&SYSTEM
  ibrav = 0, nat = 20, ntyp = 3
/
ATOMIC_SPECIES
Tb 158.93 Tb.upf
Pr 140.91 Pr.upf
Sm 150.36 Sm.upf
CELL_PARAMETERS angstrom
-4.756 6.888 5.522
4.756 -6.888 5.522
4.756 6.888 -5.522
ATOMIC_POSITIONS angstrom
Tb 4.756 3.476 -2.761
Tb 0.869 1.687 0.000
Tb 0.000 0.000 2.761
Tb 5.625 5.202 0.000
Tb 0.000 3.412 2.761
Tb 4.756 3.476 2.761
Tb -0.869 1.687 5.522
Tb 0.000 0.000 8.284
Tb 3.888 5.202 5.522
Tb 0.000 3.412 8.284
Pr 7.142 1.757 0.000
Pr 4.756 0.000 2.761
Pr 2.386 5.131 0.000
Pr 2.370 1.757 5.522
Pr 0.000 6.888 2.761
Pr -2.386 5.131 5.522
Sm 3.821 1.745 0.000
Sm 3.821 -1.745 5.522
Sm 0.936 8.633 0.000
Sm 0.936 5.144 5.522

***

No. 6
! Os3Rh4 GGA-PBE optimized geometry; values from VASP
! SG: No. 139
! Energy relative to the lowest polymorph listed for this composition (meV per atom): 131
! Formation energy (eV/atom): 0.428
! Density (g cm⁻³): 15.94
&SYSTEM
  ibrav = 0, nat = 7, ntyp = 2
/
ATOMIC_SPECIES
Os 190.23 Os.upf
Rh 102.91 Rh.upf
CELL_PARAMETERS angstrom
-1.641 1.641 9.501
1.641 -1.641 9.501
1.641 1.641 -9.501
ATOMIC_POSITIONS angstrom
Os 0.000 0.000 0.000
Os 0.000 0.000 5.416
Os 0.000 0.000 13.586
Rh 0.000 0.000 2.722
Rh 0.000 0.000 8.151
Rh 0.000 0.000 10.851
Rh 0.000 0.000 16.280

***

No. 7
! SrCdSeCl2 GGA-PBE optimized geometry; values from VASP
! SG: No. 123
! Density (g cm⁻³): 2.05
! Uncorrected formation energy (eV/atom): -0.913
&SYSTEM
  ibrav = 0, nat = 5, ntyp = 4
/
ATOMIC_SPECIES
Sr 87.62 Sr.upf
Cd 112.41 Cd.upf
Se 78.96 Se.upf
Cl 35.45 Cl.upf
CELL_PARAMETERS angstrom
4.813 0.000 0.000
0.000 4.813 0.000
0.000 0.000 12.238
ATOMIC_POSITIONS angstrom
Sr 0.000 0.000 0.000
Cd 0.000 0.000 6.119
Se 2.407 2.407 0.000
Cl 0.000 2.407 6.119
Cl 2.407 0.000 6.119

***

No. 8
! SrZnInNiSe GGA-PBE optimized geometry; values from VASP
! SG: No. 1
! Energy relative to the lowest polymorph listed for this composition (meV per atom): 96
! Density (g cm⁻³): 5.36
! Uncorrected formation energy (eV/atom): -0.550
&SYSTEM
  ibrav = 0, nat = 5, ntyp = 5
/
ATOMIC_SPECIES
Sr 87.62 Sr.upf
Zn 65.41 Zn.upf
In 114.82 In.upf
Ni 58.69 Ni.upf
Se 78.96 Se.upf
CELL_PARAMETERS angstrom
4.629 0.000 0.000
2.314 4.013 0.000
2.305 1.315 6.760
ATOMIC_POSITIONS angstrom
Sr 0.000 0.000 0.000
Zn 2.317 1.336 2.766
In 4.632 2.675 2.765
Ni 6.945 4.015 3.137
Se 6.932 3.989 5.535

***

No. 9
! Cu2IrSe GGA-PBE optimized geometry; values from VASP
! SG: No. 44
! Density (g cm⁻³): 11.16
! Uncorrected formation energy (eV/atom): 0.286
&SYSTEM
  ibrav = 0, nat = 4, ntyp = 3
/
ATOMIC_SPECIES
Cu 63.55 Cu.upf
Ir 192.22 Ir.upf
Se 78.96 Se.upf
CELL_PARAMETERS angstrom
-1.491 2.183 4.552
1.491 -2.183 4.552
1.491 2.183 -4.552
ATOMIC_POSITIONS angstrom
Cu 0.000 0.000 0.000
Cu 0.000 2.183 2.111
Ir 0.000 0.000 4.399
Se 1.491 0.000 2.432

***

No. 10
! LaFeSi2 GGA-PBE optimized geometry; values from VASP
! SG: No. 225
! Density (g cm⁻³): 5.90
! Uncorrected formation energy (eV/atom): 0.126
&SYSTEM
  ibrav = 0, nat = 4, ntyp = 3
/
ATOMIC_SPECIES
La 138.91 La.upf
Fe 55.84 Fe.upf
Si 28.09 Si.upf
CELL_PARAMETERS angstrom
0.000 3.281 3.281
3.281 0.000 3.281
3.281 3.281 0.000
ATOMIC_POSITIONS angstrom
La 0.000 0.000 0.000
Fe 3.281 3.281 3.281
Si 1.640 1.640 1.640
Si 4.921 4.921 4.921

***

No. 11
! MnSi2SN GGA-PBE optimized geometry; values from VASP
! SG: No. 1
! Energy relative to the lowest polymorph listed for this composition (meV per atom): 167
! Density (g cm⁻³): 3.40
! Uncorrected formation energy (eV/atom): -0.291
&SYSTEM
  ibrav = 0, nat = 5, ntyp = 4
/
ATOMIC_SPECIES
Mn 54.94 Mn.upf
Si 28.09 Si.upf
S 32.06 S.upf
N 14.01 N.upf
CELL_PARAMETERS angstrom
2.732 0.000 0.000
-0.013 5.004 0.000
-1.325 -0.095 5.621
ATOMIC_POSITIONS angstrom
Mn 0.000 0.000 0.000
Si -0.001 1.281 4.118
Si 1.362 1.314 1.307
S 1.350 3.281 0.010
N 1.365 1.551 3.026

***

No. 12
! KBeW2 GGA-PBE optimized geometry; values from VASP
! SG: No. 47
! Formation energy (eV/atom): 1.536
! Density (g cm⁻³): 9.53
&SYSTEM
  ibrav = 0, nat = 4, ntyp = 3
/
ATOMIC_SPECIES
K 39.10 K.upf
Be 9.01 Be.upf
W 183.84 W.upf
CELL_PARAMETERS angstrom
2.668 0.000 0.000
0.000 5.079 0.000
0.000 0.000 5.348
ATOMIC_POSITIONS angstrom
K 0.000 0.000 0.000
Be 1.334 2.539 0.000
W 0.000 2.539 2.674
W 1.334 0.000 2.674